1.
The following is a GGA-PBE calculation of a relaxed SrPuZrN3 crystal, from Alexandria.

Symmetry: P2_1/m

Lattice parameters (Å, degrees): 7.150 3.465 9.181 90.00 102.68 90.00
Sites, in units of the cell vectors:
Sr: 0.172 0.250 0.153
Sr: 0.828 0.750 0.847
Pu: 0.077 0.250 0.604
Pu: 0.923 0.750 0.396
Zr: 0.365 0.750 0.868
Zr: 0.635 0.250 0.132
N: 0.122 0.250 0.844
N: 0.252 0.750 0.623
N: 0.432 0.750 0.112
N: 0.568 0.250 0.888
N: 0.748 0.250 0.377
N: 0.878 0.750 0.156


2.
The following is a GGA-PBE calculation of a relaxed CeSc2Tl3S6 crystal, from Alexandria.

Symmetry: C2/m

Lattice parameters (Å, degrees): 6.816 6.816 7.845 98.34 98.34 119.92
Sites, in units of the cell vectors:
Ce: 0.000 0.000 0.000
Sc: 0.333 0.667 0.000
Sc: 0.667 0.333 0.000
Tl: 0.164 0.836 0.500
Tl: 0.500 0.500 0.500
Tl: 0.836 0.164 0.500
S: 0.064 0.418 0.193
S: 0.291 0.291 0.811
S: 0.418 0.064 0.193
S: 0.582 0.936 0.807
S: 0.709 0.709 0.189
S: 0.936 0.582 0.807


Number 1: formation energy from raw total energies -5.423 eV/f.u., ρ 6.96 Mg/m³. Number 2: formation energy from raw total energies -16.384 eV/f.u., ρ 5.69 Mg/m³.